1.
Entry from the Alexandria database: an optimized crystal structure of La2TaBe (GGA-PBEsol).

abc: 4.1565 4.2792 5.8954
angles: 90.00 110.64 90.00
Closest atoms and distances in Å follow each position.
Element x y z (fractional)
La1 0.1022 0.0000 0.2044  3 Ta 3.05-3.29, 4 Be 3.15
La2 0.3947 0.5000 0.7895  3 Be 3.04-3.30, 4 Ta 3.15
Ta1 0.8043 0.0000 0.6086  2 Be 2.46
Be1 0.6941 0.5000 0.3881  2 Ta 2.46

Computed properties:
**VASP energy**: -6.41 eV/atom
**Density of states at the Fermi level**: 5.0 states/eV/f.u.
**SG**: Amm2, No. 38
**ΔE_f**: 404 meV/atom
**Size of the total moment**: 0.0 Bohr magnetons per cell

2.
Entry from the Alexandria database: an optimized crystal structure of KTc2Hg (GGA-PBEsol).

abc: 2.8758 3.6220 9.2553
angles: 93.41 90.00 113.39
Closest atoms and distances in Å follow each position.
Element x y z (fractional)
Tc1 0.2273 0.4545 0.7855  1 Tc 2.17
Tc2 0.9814 0.9627 0.9292  1 Tc 2.17
K1 0.7637 0.5274 0.2397  2 K 2.88
Hg1 0.5277 0.0554 0.5457  2 Hg 2.88, 3 Tc 2.89-3.08

Computed properties:
**VASP energy**: -5.43 eV/atom
**Density of states at the Fermi level**: 3.1 states/eV/f.u.
**SG**: Cm, No. 8
**ΔE_f**: 632 meV/atom
**Size of the total moment**: 0.0 Bohr magnetons per cell

3.
Entry from the Alexandria database: an optimized crystal structure of KHgAu (GGA-PBEsol).

abc: 5.0227 5.0227 5.0227
angles: 60.00 60.00 60.00
Closest atoms and distances in Å follow each position.
Element x y z (fractional)
Au1 0.2500 0.2500 0.2500  4 Hg 3.08, 4 K 3.08
Hg1 0.0000 0.0000 0.0000  4 Au 3.08
K1 0.5000 0.5000 0.5000  4 Au 3.08

Computed properties:
**VASP energy**: -1.97 eV/atom
**Distance to the lowest polymorph of the same formula**: 0.0984 eV/atom
**Density of states at the Fermi level**: 0.9 states/eV/f.u.
**SG**: F-43m, No. 216
**ΔE_f**: -100 meV/atom
**Size of the total moment**: 0.0 Bohr magnetons per cell

4.
Entry from the Alexandria database: an optimized crystal structure of CoGePN2 (GGA-PBEsol).

abc: 3.2378 3.2378 6.9667
angles: 90.00 90.00 90.00
Closest atoms and distances in Å follow each position.
Element x y z (fractional)
Ge1 0.0000 0.0000 0.5000  4 Co 2.29
P1 0.0000 0.0000 0.0000  4 N 1.62
N1 0.5000 0.0000 0.0000  2 P 1.62
N2 0.0000 0.5000 0.0000  2 P 1.62
Co1 0.5000 0.5000 0.5000  4 Ge 2.29

Computed properties:
**VASP energy**: -6.21 eV/atom
**Density of states at the Fermi level**: 4.8 states/eV/f.u.
**SG**: P4/mmm, No. 123
**Size of the total moment**: 0.8 Bohr magnetons per cell
**ΔE_f (raw)**: 0.89 eV/atom

5.
Entry from the Alexandria database: an optimized crystal structure of NiAg2SnH (GGA-PBEsol).

abc: 3.8463 3.8463 4.8071
angles: 90.00 90.00 90.00
Closest atoms and distances in Å follow each position.
Element x y z (fractional)
Ag1 0.5000 0.0000 0.0000  2 H 1.92
Ag2 0.0000 0.5000 0.0000  2 H 1.92
Sn1 0.0000 0.0000 0.5000  2 H 2.40
Ni1 0.5000 0.5000 0.5000  4 Sn 2.72
H1 0.0000 0.0000 0.0000  4 Ag 1.92

Computed properties:
**VASP energy**: -3.81 eV/atom
**Density of states at the Fermi level**: 1.3 states/eV/f.u.
**SG**: P4/mmm, No. 123
**Size of the total moment**: 0.0 Bohr magnetons per cell

6.
Entry from the Alexandria database: an optimized crystal structure of TaCd2Os (GGA-PBEsol).

abc: 2.8387 4.5045 5.3953
angles: 90.00 90.00 90.00
Closest atoms and distances in Å follow each position.
Element x y z (fractional)
Os1 0.5000 0.5000 0.0000  2 Ta 2.70, 2 Os 2.84, 8 Cd 2.97
Cd1 0.0000 0.0000 0.7542  4 Cd 2.65-2.84
Cd2 0.0000 0.0000 0.2458  4 Cd 2.65-2.84
Ta1 0.5000 0.5000 0.5000  2 Os 2.70, 2 Ta 2.84, 8 Cd 2.99

Computed properties:
**VASP energy**: -6.30 eV/atom
**Distance to the lowest polymorph of the same formula**: 0.3802 eV/atom
**Density of states at the Fermi level**: 3.5 states/eV/f.u.
**SG**: Pmmm, No. 47
**ΔE_f**: 493 meV/atom
**Size of the total moment**: 0.4 Bohr magnetons per cell

7.
Entry from the Alexandria database: an optimized crystal structure of BeCr2Ag (GGA-PBEsol).

abc: 3.0942 3.0942 5.0957
angles: 90.00 90.00 90.00
Closest atoms and distances in Å follow each position.
Element x y z (fractional)
Ag1 0.5000 0.5000 0.0000  2 Be 2.55, 8 Cr 2.72
Be1 0.5000 0.5000 0.5000  8 Cr 2.38, 2 Ag 2.55
Cr1 0.0000 0.0000 0.6845  1 Cr 1.88
Cr2 0.0000 0.0000 0.3155  1 Cr 1.88

Computed properties:
**VASP energy**: -6.58 eV/atom
**Density of states at the Fermi level**: 3.0 states/eV/f.u.
**SG**: P4/mmm, No. 123
**ΔE_f**: 369 meV/atom
**Size of the total moment**: 0.0 Bohr magnetons per cell

8.
Entry from the Alexandria database: an optimized crystal structure of Ca3MnO (GGA-PBEsol).

abc: 4.8095 4.8095 4.8095
angles: 90.00 90.00 90.00
Closest atoms and distances in Å follow each position.
Element x y z (fractional)
O1 0.0000 0.0000 0.0000  6 Ca 2.40
Ca1 0.5000 0.0000 0.0000  2 O 2.40
Ca2 0.0000 0.0000 0.5000  2 O 2.40
Ca3 0.0000 0.5000 0.0000  2 O 2.40
Mn1 0.5000 0.5000 0.5000  12 Ca 3.40

Computed properties:
**VASP energy**: -5.12 eV/atom
**Density of states at the Fermi level**: 3.2 states/eV/f.u.
**SG**: Pm-3m, No. 221
**Size of the total moment**: 4.3 Bohr magnetons per cell
**ΔE_f (raw)**: -0.84 eV/atom